Ca2ZnSe (meta-GGA SCAN, PBEsol geometry); size of the total moment = 0.55 μB/f.u.; E_tot = -56.76 eV for the cell shown; N(E_F) = 0.788 states/eV/atom; theoretical density = 3.5 g cm⁻³; ΔE_f (raw) = -0.960 eV per atom
1.0
-1.487 0.812 3.851
3.697 -1.126 1.665
1.921 5.643 -0.448
Ca Zn Se
2 1 1
Direct
0.875 0.875 0.000 Ca
0.375 0.375 0.500 Ca
0.875 0.875 0.500 Zn
0.375 0.375 0.000 Se

SnTe3C (meta-GGA SCAN, PBEsol geometry); size of the total moment = 0.00 μB/f.u.; E_tot = -153.25 eV for the cell shown; N(E_F) = 0.708 states/eV/atom; theoretical density = 7.6 g cm⁻³; ΔE_f (raw) = 0.904 eV per atom
1.0
4.827 0.000 0.000
0.000 4.827 0.000
0.000 0.000 4.827
C Te Sn
1 3 1
Direct
0.000 0.000 0.000 C
0.000 0.500 0.000 Te
0.500 0.000 0.000 Te
0.000 0.000 0.500 Te
0.500 0.500 0.500 Sn

Rb2SiSnBi (meta-GGA SCAN, PBEsol geometry); size of the total moment = 1.16 μB/f.u.; E_tot = -164.02 eV for the cell shown; N(E_F) = 0.945 states/eV/atom; theoretical density = 4.0 g cm⁻³; ΔE_f (raw) = 0.396 eV per atom
1.0
4.864 0.000 0.000
0.000 6.666 0.000
0.000 0.000 6.666
Sn Rb Bi Si
1 2 1 1
Direct
0.500 0.000 0.000 Sn
0.000 0.500 0.000 Rb
0.000 0.000 0.500 Rb
0.500 0.500 0.500 Bi
0.000 0.000 0.000 Si